Density functional theory data (PBE) for an optimized crystal structure of Ho3ThTc. Values from VASP.

The structure in Quantum ESPRESSO input format:
```
&SYSTEM
  ibrav = 0, nat = 10, ntyp = 3
/
ATOMIC_SPECIES
Ho 164.93 Ho.upf
Th 232.04 Th.upf
Tc 98.00 Tc.upf
CELL_PARAMETERS angstrom
5.9740 -1.9641 0.0000
5.9740 1.9641 0.0000
-5.0473 0.0000 11.8527
ATOMIC_POSITIONS angstrom
Ho 0.0000 0.0000 0.0000
Ho -1.6121 0.0000 4.4836
Ho 0.0142 0.0000 9.1199
Ho 3.6640 0.0000 1.6889
Ho 3.4954 0.0000 7.4273
Ho 3.4568 0.0000 10.7372
Th 7.0462 0.0000 2.7256
Th 6.8729 0.0000 6.2152
Tc 2.0921 0.0000 4.5991
Tc 7.9966 0.0000 9.0506
```

Properties
**Calculated formation energy**: -0.081 eV per atom
**D(E_F)**: 0.9258 states/eV/atom
**Theoretical density**: 9.8 g cm⁻³
**Excess energy over the best structure of this formula in the dataset**: 0.00 eV per formula unit